First-principles (PBE) data for a geometry-optimized AsIr2Ru structure, as listed in the Alexandria database.

Structure (extended XYZ):
```
4
Lattice="-2.350 -2.679 -2.989 -2.882 -2.543 2.619 0.641 4.606 -0.051" Properties=species:S:1:pos:R:3 pbc="T T T"
Ru -2.616 -2.611 -0.185
As -2.162 -0.342 -1.612
Ir 0.000 0.000 0.000
Ir -2.428 -0.274 1.192
```

Computed properties:
D(E_F) = 3.73 states/eV/cell
E_form = 224 meV/atom
VASP energy = -30.8 eV per cell